Arrangement 1

Material: TmCdInTe3
Method: DFT, PBE
State: relaxed

Unit cell a=11.5699 b=4.4320 c=15.1452 alpha=90.00 beta=90.00 gamma=90.00
With the nearest neighbours (Å) after each atom.
Space group Pnma (No. 62)
One atom of each set of equivalent atoms:
Tm: 0.0135 0.2500 0.2473 [4 per cell]  6 Te 3.09-3.17
Cd: 0.2400 0.2500 0.7156 [4 per cell]  4 Te 2.80-2.86
In: 0.2314 0.7500 0.5105 [4 per cell]  7 Te 3.48-3.62, 2 Cd 3.82
Te: 0.0352 0.2500 0.6148 [4 per cell]  1 Cd 2.82, 2 Tm 3.10
Te: 0.0610 0.7500 0.1100 [4 per cell]  1 Cd 2.80, 2 Tm 3.09
Te: 0.2376 0.7500 0.8349 [4 per cell]  2 Cd 2.86, 2 Tm 3.16-3.17

---

Arrangement 2

Material: TmCdInTe3
Method: DFT, PBE
State: relaxed

Unit cell a=8.6813 b=4.4154 c=11.1541 alpha=90.00 beta=107.66 gamma=90.00
With the nearest neighbours (Å) after each atom.
Space group P2_1/m (No. 11)
One atom of each set of equivalent atoms:
Tm: 0.1866 0.2500 0.1417 [2 per cell]  6 Te 3.02-3.22
Cd: 0.4242 0.7500 0.3886 [2 per cell]  4 Te 2.81-2.97
In: 0.2432 0.7500 0.7211 [2 per cell]  4 Te 3.35-3.54
Te: 0.0588 0.2500 0.8575 [2 per cell]  3 Tm 3.02-3.07, 2 In 3.35
Te: 0.2392 0.2500 0.4398 [2 per cell]  3 Cd 2.89-2.97, 1 Tm 3.22
Te: 0.4335 0.7500 0.1389 [2 per cell]  1 Cd 2.81, 2 Tm 3.08

---

Most stable: arrangement 1. Least stable: arrangement 2.

---

Arrangement 1

Material: CdIr15
Method: DFT, PBE
State: relaxed

Unit cell a=5.4640 b=3.8550 c=35.7872 alpha=90.00 beta=90.01 gamma=90.00
With the nearest neighbours (Å) after each atom.
Space group P2_1/m (No. 11)
One atom of each set of equivalent atoms:
Cd: 0.1251 0.2500 0.2027 [2 per cell]  7 Ir 2.77-3.09
Ir: 0.1249 0.2500 0.2891 [2 per cell]  11 Ir 2.73-2.75
Ir: 0.1251 0.2500 0.3658 [2 per cell]  12 Ir 2.72-2.75
Ir: 0.1248 0.2500 0.4422 [2 per cell]  12 Ir 2.73-2.75
Ir: 0.1248 0.2500 0.5191 [2 per cell]  12 Ir 2.73-2.75
Ir: 0.1253 0.2500 0.5958 [2 per cell]  12 Ir 2.73-2.74
Ir: 0.1251 0.2500 0.6721 [2 per cell]  12 Ir 2.72-2.74
Ir: 0.1306 0.2500 0.7482 [2 per cell]  9 Ir 2.67-2.79, 2 Cd 2.96
Ir: 0.3750 0.7500 0.3280 [2 per cell]  12 Ir 2.72-2.74
Ir: 0.3753 0.7500 0.4043 [2 per cell]  12 Ir 2.73-2.74
Ir: 0.3749 0.7500 0.4807 [2 per cell]  12 Ir 2.73-2.74
Ir: 0.3749 0.7500 0.5574 [2 per cell]  12 Ir 2.73-2.75
Ir: 0.3750 0.7500 0.6342 [2 per cell]  12 Ir 2.72-2.75
Ir: 0.3752 0.7500 0.7106 [2 per cell]  12 Ir 2.65-2.74
Ir: 0.3747 0.7500 0.7848 [2 per cell]  5 Ir 2.65-2.69, 2 Cd 2.77
Ir: 0.3805 0.7500 0.2518 [2 per cell]  9 Ir 2.67-2.79, 2 Cd 2.96

---

Arrangement 2

Material: CdIr15
Method: DFT, PBE
State: relaxed

Unit cell a=7.7390 b=44.2903 c=3.8737 alpha=90.00 beta=90.00 gamma=90.00
With the nearest neighbours (Å) after each atom.
Space group Pccm (No. 49)
One atom of each set of equivalent atoms:
Cd: 0.1382 0.1618 0.0000 [4 per cell]  5 Ir 2.77-3.09, 2 Cd 2.89
Ir: 0.1241 0.2161 0.5000 [4 per cell]  9 Ir 2.70-2.74
Ir: 0.1247 0.2590 0.0000 [4 per cell]  12 Ir 2.69-2.77
Ir: 0.1245 0.3469 0.0000 [4 per cell]  12 Ir 2.73-2.75
Ir: 0.1251 0.3907 0.5000 [4 per cell]  12 Ir 2.73-2.74
Ir: 0.1252 0.4343 0.0000 [4 per cell]  12 Ir 2.73-2.74
Ir: 0.1250 0.4781 0.5000 [4 per cell]  12 Ir 2.74
Ir: 0.1263 0.3028 0.5000 [4 per cell]  12 Ir 2.72-2.75
Ir: 0.3714 0.2162 0.0000 [4 per cell]  11 Ir 2.64-2.78
Ir: 0.3745 0.3471 0.5000 [4 per cell]  12 Ir 2.73-2.75
Ir: 0.3752 0.3907 0.0000 [4 per cell]  12 Ir 2.73-2.74
Ir: 0.3752 0.4345 0.5000 [4 per cell]  12 Ir 2.74
Ir: 0.3750 0.4782 0.0000 [4 per cell]  12 Ir 2.74
Ir: 0.3755 0.2596 0.5000 [4 per cell]  12 Ir 2.72-2.74
Ir: 0.3765 0.3035 0.0000 [4 per cell]  12 Ir 2.72-2.77
Ir: 0.3829 0.1748 0.5000 [4 per cell]  6 Ir 2.64-2.71, 2 Cd 2.77

---

Most stable: arrangement 2. Least stable: arrangement 1.

---

Arrangement 1

Material: CdIr15
Method: DFT, PBE
State: relaxed

Unit cell a=4.7268 b=35.7952 c=4.7262 alpha=90.00 beta=109.43 gamma=90.00
With the nearest neighbours (Å) after each atom.
Space group P2/c (No. 13)
One atom of each set of equivalent atoms:
Cd: 0.0000 0.2021 0.2500 [2 per cell]  6 Ir 2.78-2.95
Ir: 0.0000 0.2512 0.7500 [2 per cell]  9 Ir 2.67-2.74, 2 Cd 2.95
Ir: 0.0000 0.2897 0.2500 [2 per cell]  11 Ir 2.73-2.75
Ir: 0.0000 0.3278 0.7500 [2 per cell]  12 Ir 2.72-2.74
Ir: 0.0000 0.3664 0.2500 [2 per cell]  12 Ir 2.72-2.75
Ir: 0.0000 0.4041 0.7500 [2 per cell]  12 Ir 2.72-2.75
Ir: 0.0000 0.4423 0.2500 [2 per cell]  12 Ir 2.72-2.75
Ir: 0.0000 0.4808 0.7500 [2 per cell]  12 Ir 2.73-2.75
Ir: 0.5000 0.2165 0.7500 [2 per cell]  5 Ir 2.62-2.67, 2 Cd 2.78
Ir: 0.5000 0.2513 0.2500 [2 per cell]  9 Ir 2.67-2.74, 2 Cd 2.95
Ir: 0.5000 0.2897 0.7500 [2 per cell]  12 Ir 2.62-2.74
Ir: 0.5000 0.3279 0.2500 [2 per cell]  12 Ir 2.72-2.74
Ir: 0.5000 0.3654 0.7500 [2 per cell]  12 Ir 2.71-2.76
Ir: 0.5000 0.4043 0.2500 [2 per cell]  12 Ir 2.72-2.74
Ir: 0.5000 0.4425 0.7500 [2 per cell]  12 Ir 2.73-2.76
Ir: 0.5000 0.4807 0.2500 [2 per cell]  12 Ir 2.73-2.75

---

Arrangement 2

Material: CdIr15
Method: DFT, PBE
State: relaxed

Unit cell a=5.4626 b=2.7410 c=44.3741 alpha=90.00 beta=90.00 gamma=90.00
With the nearest neighbours (Å) after each atom.
Space group P2_1/m (No. 11)
One atom of each set of equivalent atoms:
Cd: 0.1250 0.2500 0.1605 [2 per cell]  2 Cd 2.74, 2 Ir 2.81
Ir: 0.1215 0.2500 0.7837 [2 per cell]  10 Ir 2.65-2.77
Ir: 0.1250 0.2500 0.2596 [2 per cell]  12 Ir 2.72-2.74
Ir: 0.1249 0.2500 0.3470 [2 per cell]  12 Ir 2.73-2.74
Ir: 0.1248 0.2500 0.4344 [2 per cell]  12 Ir 2.73-2.74
Ir: 0.1249 0.2500 0.5219 [2 per cell]  12 Ir 2.73-2.74
Ir: 0.1252 0.2500 0.6093 [2 per cell]  12 Ir 2.73-2.74
Ir: 0.1262 0.2500 0.6967 [2 per cell]  12 Ir 2.72-2.74
Ir: 0.3714 0.7500 0.2163 [2 per cell]  10 Ir 2.65-2.77
Ir: 0.3752 0.7500 0.3907 [2 per cell]  12 Ir 2.73-2.74
Ir: 0.3750 0.7500 0.4781 [2 per cell]  12 Ir 2.73-2.74
Ir: 0.3749 0.7500 0.5656 [2 per cell]  12 Ir 2.73-2.74
Ir: 0.3750 0.7500 0.6529 [2 per cell]  12 Ir 2.73-2.74
Ir: 0.3750 0.7500 0.7402 [2 per cell]  12 Ir 2.73-2.74
Ir: 0.3750 0.7500 0.8243 [2 per cell]  6 Ir 2.65-2.74, 2 Cd 2.81
Ir: 0.3762 0.7500 0.3033 [2 per cell]  12 Ir 2.72-2.74

---

Most stable: arrangement 2. Least stable: arrangement 1.

---

Arrangement 1

Material: CdIr15
Method: DFT, PBE
State: relaxed

Unit cell a=3.8625 b=3.8622 c=44.4209 alpha=90.00 beta=90.00 gamma=90.00
With the nearest neighbours (Å) after each atom.
Space group Pmma (No. 51)
One atom of each set of equivalent atoms:
Cd: 0.2500 0.0000 0.1590 [2 per cell]  4 Ir 2.83
Ir: 0.2500 0.0000 0.2595 [2 per cell]  12 Ir 2.71-2.75
Ir: 0.2500 0.0000 0.3474 [2 per cell]  12 Ir 2.73-2.74
Ir: 0.2500 0.0000 0.4344 [2 per cell]  12 Ir 2.73-2.74
Ir: 0.2500 0.0000 0.5219 [2 per cell]  12 Ir 2.73-2.74
Ir: 0.2500 0.0000 0.6091 [2 per cell]  12 Ir 2.73-2.74
Ir: 0.2500 0.0000 0.6965 [2 per cell]  12 Ir 2.73-2.75
Ir: 0.2500 0.0000 0.7834 [2 per cell]  10 Ir 2.65-2.73
Ir: 0.2500 0.5000 0.2167 [2 per cell]  10 Ir 2.65-2.73
Ir: 0.2500 0.5000 0.3035 [2 per cell]  12 Ir 2.73-2.75
Ir: 0.2500 0.5000 0.3909 [2 per cell]  12 Ir 2.73-2.74
Ir: 0.2500 0.5000 0.4782 [2 per cell]  12 Ir 2.73-2.74
Ir: 0.2500 0.5000 0.5654 [2 per cell]  12 Ir 2.73-2.74
Ir: 0.2500 0.5000 0.6529 [2 per cell]  12 Ir 2.73-2.74
Ir: 0.2500 0.5000 0.7400 [2 per cell]  12 Ir 2.73
Ir: 0.2500 0.5000 0.8242 [2 per cell]  4 Ir 2.65, 4 Cd 2.83

---

Arrangement 2

Material: CdIr15
Method: DFT, PBE
State: relaxed

Unit cell a=7.7294 b=2.7342 c=35.7207 alpha=90.00 beta=90.01 gamma=90.00
With the nearest neighbours (Å) after each atom.
Space group P2_1/m (No. 11)
One atom of each set of equivalent atoms:
Cd: 0.1246 0.2500 0.2056 [2 per cell]  2 Cd 2.73, 5 Ir 2.89-2.96
Ir: 0.1244 0.2500 0.6726 [2 per cell]  12 Ir 2.72-2.75
Ir: 0.1252 0.2500 0.2886 [2 per cell]  11 Ir 2.73-2.76, 1 Cd 2.96
Ir: 0.1252 0.2500 0.3657 [2 per cell]  12 Ir 2.73-2.76
Ir: 0.1247 0.2500 0.4420 [2 per cell]  12 Ir 2.73-2.76
Ir: 0.1250 0.2500 0.5192 [2 per cell]  12 Ir 2.73-2.76
Ir: 0.1260 0.2500 0.5960 [2 per cell]  12 Ir 2.73-2.75
Ir: 0.1302 0.2500 0.7495 [2 per cell]  9 Ir 2.64-2.76, 2 Cd 2.89
Ir: 0.3741 0.7500 0.3274 [2 per cell]  12 Ir 2.71-2.76
Ir: 0.3749 0.7500 0.4806 [2 per cell]  12 Ir 2.73-2.75
Ir: 0.3747 0.7500 0.5574 [2 per cell]  12 Ir 2.73-2.76
Ir: 0.3750 0.7500 0.6345 [2 per cell]  12 Ir 2.68-2.76
Ir: 0.3754 0.7500 0.7095 [2 per cell]  12 Ir 2.67-2.74
Ir: 0.3745 0.7500 0.7844 [2 per cell]  7 Ir 2.64-2.73
Ir: 0.3759 0.7500 0.4042 [2 per cell]  12 Ir 2.73-2.74
Ir: 0.3804 0.7500 0.2503 [2 per cell]  9 Ir 2.64-2.76, 2 Cd 2.89

---

Most stable: arrangement 1. Least stable: arrangement 2.

---

Arrangement 1

Material: CdIr17
Method: DFT, PBE
State: relaxed

Unit cell a=4.7093 b=5.4470 c=33.3371 alpha=90.00 beta=90.03 gamma=90.00
With the nearest neighbours (Å) after each atom.
Space group P2_1/m (No. 11)
One atom of each set of equivalent atoms:
Cd: 0.1670 0.2500 0.2931 [2 per cell]  6 Ir 2.86
Ir: 0.0000 0.0000 0.0000 [2 per cell]  12 Ir 2.72-2.75
Ir: 0.0010 0.0032 0.2013 [4 per cell]  11 Ir 2.69-2.76
Ir: 0.1663 0.7500 0.0670 [2 per cell]  12 Ir 2.72-2.75
Ir: 0.1657 0.7500 0.8654 [2 per cell]  12 Ir 2.71-2.75
Ir: 0.1669 0.2500 0.0676 [2 per cell]  12 Ir 2.72-2.75
Ir: 0.1680 0.7500 0.2667 [2 per cell]  7 Ir 2.67-2.73, 2 Cd 2.86
Ir: 0.1688 0.2500 0.8657 [2 per cell]  12 Ir 2.71-2.75
Ir: 0.3331 0.0000 0.1347 [4 per cell]  12 Ir 2.71-2.75
Ir: 0.3334 0.0002 0.7331 [4 per cell]  7 Ir 2.67-2.73, 2 Cd 2.86
Ir: 0.3333 0.0005 0.9326 [4 per cell]  12 Ir 2.72-2.74
Ir: 0.4978 0.2500 0.2022 [2 per cell]  11 Ir 2.67-2.75
Ir: 0.4992 0.7500 0.2018 [2 per cell]  12 Ir 2.67-2.74
Ir: 0.4998 0.2500 0.0001 [2 per cell]  12 Ir 2.72-2.74

---

Arrangement 2

Material: CdIr17
Method: DFT, PBE
State: relaxed

Unit cell a=5.4495 b=5.4495 c=33.2956 alpha=90.00 beta=90.00 gamma=120.00
With the nearest neighbours (Å) after each atom.
Space group P-3m1 (No. 164)
One atom of each set of equivalent atoms:
Cd: 0.3333 0.6667 0.2930 [2 per cell]  6 Ir 2.86
Ir: 0.0000 0.0000 0.0000 [1 per cell]  12 Ir 2.72-2.74
Ir: 0.0000 0.0000 0.2025 [2 per cell]  12 Ir 2.66-2.75
Ir: 0.0000 0.5000 0.0000 [3 per cell]  12 Ir 2.72-2.74
Ir: 0.0026 0.5013 0.2016 [6 per cell]  11 Ir 2.69-2.75
Ir: 0.1667 0.3335 0.1346 [6 per cell]  12 Ir 2.72-2.75
Ir: 0.1666 0.3332 0.7331 [6 per cell]  7 Ir 2.66-2.73, 2 Cd 2.86
Ir: 0.1669 0.3339 0.9326 [6 per cell]  12 Ir 2.72-2.74
Ir: 0.3333 0.6667 0.0671 [2 per cell]  12 Ir 2.72-2.74
Ir: 0.3333 0.6667 0.8656 [2 per cell]  12 Ir 2.72-2.74

---

Most stable: arrangement 1. Least stable: arrangement 2.

---

Arrangement 1

Material: NaCdMoIr
Method: DFT, PBE
State: relaxed

Unit cell a=6.4226 b=6.4226 c=6.4226 alpha=90.00 beta=90.00 gamma=90.00
With the nearest neighbours (Å) after each atom.
Space group F-43m (No. 216)
One atom of each set of equivalent atoms:
Na: 0.0000 0.0000 0.0000 [4 per cell]  4 Cd 2.78, 4 Mo 2.78
Cd: 0.2500 0.2500 0.2500 [4 per cell]  4 Na 2.78, 4 Ir 2.78
Mo: 0.2500 0.2500 0.7500 [4 per cell]  4 Na 2.78, 4 Ir 2.78
Ir: 0.0000 0.0000 0.5000 [4 per cell]  4 Cd 2.78, 4 Mo 2.78

---

Arrangement 2

Material: NaCdMoIr
Method: DFT, PBE
State: relaxed

Unit cell a=6.4696 b=6.4696 c=6.4696 alpha=90.00 beta=90.00 gamma=90.00
With the nearest neighbours (Å) after each atom.
Space group F-43m (No. 216)
One atom of each set of equivalent atoms:
Na: 0.0000 0.0000 0.0000 [4 per cell]  4 Cd 2.80, 4 Ir 2.80
Cd: 0.2500 0.2500 0.7500 [4 per cell]  4 Mo 2.80, 4 Na 2.80
Mo: 0.0000 0.0000 0.5000 [4 per cell]  4 Cd 2.80, 4 Ir 2.80
Ir: 0.2500 0.2500 0.2500 [4 per cell]  4 Mo 2.80, 4 Na 2.80

---

Most stable: arrangement 1. Least stable: arrangement 2.